[1]
Material: LiCd2Cl
Method: DFT, GGA-PBE
State: optimized geometry

abc: 3.770 5.537 8.570
angles: 90.00 90.00 90.00
Space group Cmmm (No. 65)
Asymmetric unit:
Li (0.000, 0.000, 0.000)
Cd (0.000, 0.500, 0.248)
Cl (0.000, 0.000, 0.500)

**Relative energy among the computed polymorphs**: 0.300 eV/atom
**Formation energy from raw total energies**: -382.8 meV per atom
**E**: -1.780 eV per atom
**Fermi-level density of states**: 0.62 states/eV/f.u.
**M_tot**: 0.0 Bohr magnetons per cell


[2]
Material: Re2SiRh2
Method: DFT, GGA-PBE
State: optimized geometry

abc: 7.650 7.650 2.701
angles: 90.00 90.00 90.00
Space group P4/mbm (No. 127)
Asymmetric unit:
Re (0.122, 0.378, 0.000)
Si (0.000, 0.000, 0.500)
Rh (0.169, 0.669, 0.500)

**Relative energy among the computed polymorphs**: 0.005 eV/atom
**Formation energy from raw total energies**: 351.4 meV per atom
**E**: -8.653 eV per atom
**Fermi-level density of states**: 4.82 states/eV/f.u.
**M_tot**: 0.0 Bohr magnetons per cell


[3]
Material: MgBeSnO4
Method: DFT, GGA-PBE
State: optimized geometry

abc: 5.805 6.031 8.273
angles: 90.00 90.00 90.00
Space group Imma (No. 74)
Asymmetric unit:
Mg (0.250, 0.250, 0.250)
Be (0.000, 0.250, 0.642)
Sn (0.000, 0.000, 0.000)
O (0.000, 0.004, 0.750)
O (0.246, 0.250, 0.502)

**Formation energy from raw total energies**: -2085.2 meV per atom
**E**: -6.250 eV per atom
**Fermi-level density of states**: 0.00 states/eV/f.u.
**M_tot**: 0.0 Bohr magnetons per cell


[4]
Material: TbCeC
Method: DFT, GGA-PBE
State: optimized geometry

abc: 3.181 3.181 12.080
angles: 90.00 90.00 90.00
Space group I4mm (No. 107)
Asymmetric unit:
Tb (0.000, 0.000, 0.000)
Ce (0.000, 0.000, 0.771)
C (0.000, 0.000, 0.385)

**Calculated formation energy**: 0.53 eV per formula unit
**Relative energy among the computed polymorphs**: 0.369 eV/atom
**E**: -6.418 eV per atom
**Fermi-level density of states**: 3.96 states/eV/f.u.
**M_tot**: 0.0 Bohr magnetons per cell


[5]
Material: TcNiPCl2
Method: DFT, GGA-PBE
State: optimized geometry

abc: 4.444 4.444 4.843
angles: 90.00 90.00 90.00
Space group P4/mmm (No. 123)
Asymmetric unit:
Tc (0.000, 0.000, 0.000)
Ni (0.500, 0.500, 0.500)
P (0.500, 0.500, 0.000)
Cl (0.000, 0.500, 0.500)

**Relative energy among the computed polymorphs**: 0.000 eV/atom
**Formation energy from raw total energies**: 669.9 meV per atom
**E**: -4.380 eV per atom
**Fermi-level density of states**: 2.85 states/eV/f.u.
**M_tot**: 4.2 Bohr magnetons per cell


[6]
Material: ThCuAgSn
Method: DFT, GGA-PBE
State: optimized geometry

abc: 7.039 7.039 7.039
angles: 90.00 90.00 90.00
Space group F-43m (No. 216)
Asymmetric unit:
Th (0.000, 0.000, 0.000)
Cu (0.250, 0.250, 0.750)
Ag (0.250, 0.250, 0.250)
Sn (0.000, 0.000, 0.500)

**Calculated formation energy**: -0.89 eV per formula unit
**E**: -4.815 eV per atom
**Fermi-level density of states**: 2.46 states/eV/f.u.
**M_tot**: 0.0 Bohr magnetons per cell


[7]
Material: PmZrSb
Method: DFT, GGA-PBE
State: optimized geometry

abc: 4.376 4.376 8.398
angles: 90.00 90.00 90.00
Space group P4/nmm (No. 129, origin choice 2)
Asymmetric unit:
Pm (0.250, 0.250, 0.147)
Zr (0.250, 0.750, 0.500)
Sb (0.250, 0.250, 0.755)

**Relative energy among the computed polymorphs**: 0.000 eV/atom
**Formation energy from raw total energies**: -827.4 meV per atom
**E**: -6.634 eV per atom
**Fermi-level density of states**: 2.94 states/eV/f.u.
**M_tot**: 0.0 Bohr magnetons per cell


[8]
Material: Sr2AlNi
Method: DFT, GGA-PBE
State: optimized geometry

abc: 11.095 11.095 4.617
angles: 90.00 90.00 90.00
Space group I-42d (No. 122)
Asymmetric unit:
Sr (0.072, 0.250, 0.125)
Al (0.000, 0.000, 0.500)
Ni (0.000, 0.000, 0.000)

**Calculated formation energy**: -0.23 eV per formula unit
**E**: -3.280 eV per atom
**Fermi-level density of states**: 2.78 states/eV/f.u.
**M_tot**: 0.0 Bohr magnetons per cell


[9]
Material: CaPr6
Method: DFT, GGA-PBE
State: optimized geometry

abc: 8.415 8.415 8.415
angles: 90.00 90.00 90.00
Space group Im-3m (No. 229)
Asymmetric unit:
Ca (0.000, 0.000, 0.000)
Pr (0.000, 0.250, 0.500)

**Calculated formation energy**: 7.65 eV per formula unit
**E**: -3.290 eV per atom
**Fermi-level density of states**: 7.44 states/eV/f.u.
**M_tot**: 0.0 Bohr magnetons per cell


[10]
Material: CsTaS4
Method: DFT, GGA-PBE
State: optimized geometry

abc: 7.965 18.042 5.916
angles: 90.00 95.82 90.00
Space group C2/c (No. 15)
Asymmetric unit:
Cs (0.000, 0.179, 0.250)
Ta (0.000, 0.422, 0.250)
S (0.111, 0.443, 0.668)
S (0.224, 0.350, 0.208)

**Formation energy from raw total energies**: -885.6 meV per atom
**E**: -5.755 eV per atom
**Fermi-level density of states**: 0.00 states/eV/f.u.
**M_tot**: 0.0 Bohr magnetons per cell


[11]
Material: Nd6Sb4Te
Method: DFT, GGA-PBE
State: optimized geometry

abc: 12.5832 12.5832 15.7365
angles: 90.00 90.00 120.00
Space group R-3c (No. 167, hexagonal axes)
Asymmetric unit:
Nd (0.0283, 0.2028, 0.3835)
Sb (0.0000, 0.0000, 0.2500)
Sb (0.0000, 0.3844, 0.2500)
Te (0.0000, 0.0000, 0.0000)

**Formation energy from raw total energies**: -964.3 meV per atom
**E**: -5.350 eV per atom
**Fermi-level density of states**: 11.77 states/eV/f.u.
**M_tot**: 10.3 Bohr magnetons per cell


[12]
Material: BaZn2GaC
Method: DFT, GGA-PBE
State: optimized geometry

abc: 5.224 5.224 4.025
angles: 90.00 90.00 90.00
Space group P4/mmm (No. 123)
Asymmetric unit:
Ba (0.000, 0.000, 0.000)
Zn (0.000, 0.500, 0.500)
Ga (0.500, 0.500, 0.500)
C (0.500, 0.500, 0.000)

**Calculated formation energy**: 3.40 eV per formula unit
**E**: -2.665 eV per atom
**Fermi-level density of states**: 3.01 states/eV/f.u.
**M_tot**: 0.0 Bohr magnetons per cell


Repeat the seventh record exactly.
Material: PmZrSb
Method: DFT, GGA-PBE
State: optimized geometry

abc: 4.376 4.376 8.398
angles: 90.00 90.00 90.00
Space group P4/nmm (No. 129, origin choice 2)
Asymmetric unit:
Pm (0.250, 0.250, 0.147)
Zr (0.250, 0.750, 0.500)
Sb (0.250, 0.250, 0.755)

**Relative energy among the computed polymorphs**: 0.000 eV/atom
**Formation energy from raw total energies**: -827.4 meV per atom
**E**: -6.634 eV per atom
**Fermi-level density of states**: 2.94 states/eV/f.u.
**M_tot**: 0.0 Bohr magnetons per cell


- The highest E belongs to which entry?
  LiCd2Cl